A relaxed VSi3W crystal, computed with PBE.

Output
- Total DFT energy (no corrections): -6.71 eV per atom
- Energy above the most stable polymorph in this dataset: 0.00 eV per formula unit
- Total magnetic moment: 4.1 μB/f.u.

Cell: 4.7305 4.7305 4.7305 Å, 90.00 90.00 90.00°
Space group Pm-3m (No. 221)
Inequivalent atoms, fractional coordinates:
V (0.0000, 0.0000, 0.0000) [1 per cell]
Si (0.0000, 0.5000, 0.5000) [3 per cell]
W (0.5000, 0.5000, 0.5000) [1 per cell]